Entry 1:
CaTh2Sb3 | PBE | relaxed

a b c (Å): 4.5245 6.3816 13.5303
angles (deg): 90.00 90.00 90.00
Space group Immm (No. 71)
Inequivalent atoms, fractional coordinates:
Ca1 0.0000 0.0000 0.0000
Th1 0.0000 0.0000 0.3340
Sb1 0.0000 0.5000 0.0000
Sb2 0.0000 0.5000 0.3325

Computed properties:
Its uncorrected formation energy is -5.82 eV/f.u. Its density of states at the Fermi level is 2.59 states/eV/f.u. The magnetization comes out at 0.00 Bohr magnetons per cell.


Entry 2:
Th8Tc3Te4P | PBE | relaxed

a b c (Å): 8.4516 8.4516 22.8173
angles (deg): 90.00 90.00 120.00
Space group R-3m (No. 166, hexagonal axes)
Inequivalent atoms, fractional coordinates:
Th1 0.0000 0.0000 0.2348
Th2 0.0126 0.5063 0.7664
Tc1 0.0000 0.5000 0.5000
Te1 0.0000 0.0000 0.0000
Te2 0.0000 0.5000 0.0000
P1 0.0000 0.0000 0.5000

Computed properties:
Its uncorrected formation energy is -12.59 eV/f.u. Its density of states at the Fermi level is 12.33 states/eV/f.u. The magnetization comes out at 0.00 Bohr magnetons per cell.


Entry 3:
Pr3Ga3Ir | PBE | relaxed

a b c (Å): 11.3243 4.3350 14.7500
angles (deg): 90.00 108.40 90.00
Space group C2/m (No. 12)
Inequivalent atoms, fractional coordinates:
Pr1 0.0229 0.0000 0.3847
Pr2 0.1129 0.0000 0.9207
Pr3 0.2364 0.0000 0.2382
Ga1 0.0311 0.5000 0.2330
Ga2 0.1009 0.5000 0.0744
Ga3 0.1591 0.5000 0.5368
Ir1 0.2372 0.5000 0.3863

Computed properties:
For the total energy, the calculation gives -0.1930 Ha/atom. Its density of states at the Fermi level is 6.40 states/eV/f.u. The magnetization comes out at 0.00 Bohr magnetons per cell.


Entry 4:
KRb2Tl12Au3 | PBE | relaxed

a b c (Å): 10.4082 10.4082 21.2309
angles (deg): 90.00 90.00 120.00
Space group R-3m (No. 166, hexagonal axes)
Inequivalent atoms, fractional coordinates:
K1 0.0000 0.0000 0.0000
Rb1 0.0000 0.0000 0.4152
Tl1 0.0442 0.5221 0.8652
Tl2 0.0478 0.5239 0.3628
Au1 0.0000 0.5000 0.5000

Computed properties:
For the total energy, the calculation gives -0.0814 Ha/atom. Its density of states at the Fermi level is 7.57 states/eV/f.u. The magnetization comes out at 0.00 Bohr magnetons per cell.